Entry 1:
## LaAgPb (PBE)

Data for a geometry-optimized LaAgPb structure.

Lattice parameters (Å, degrees): 5.0304 5.0304 7.8881 90.00 90.00 120.00
Element x y z (fractional)
La (0.0000, 0.0000, 0.2176)
La (0.0000, 0.0000, 0.7824)
Ag (0.3333, 0.6667, 0.9944)
Ag (0.6667, 0.3333, 0.0056)
Pb (0.3333, 0.6667, 0.5709)
Pb (0.6667, 0.3333, 0.4291)

Properties
density: 8728 kg/m3
symmetry: P-3m1 (164)
spin magnetization: 0.00 μB per formula unit
energy of formation: -0.30 eV per atom
final energy: -4.13 eV per atom



Entry 2:
## YUTc2 (PBE)

Data for a geometry-optimized YUTc2 structure.

Lattice parameters (Å, degrees): 5.4855 5.4855 5.4855 47.84 47.84 47.84
Element x y z (fractional)
Y (0.0000, 0.0000, 0.0000)
U (0.5000, 0.5000, 0.5000)
Tc (0.2145, 0.2145, 0.2145)
Tc (0.7855, 0.7855, 0.7855)

Properties
density: 10453 kg/m3
symmetry: R-3m (166)
spin magnetization: 0.00 μB per formula unit
energy of formation: -0.07 eV per atom
final energy: -9.69 eV per atom



Entry 3:
## MnZnBr6 (PBE)

Data for a geometry-optimized MnZnBr6 structure.

Lattice parameters (Å, degrees): 7.0217 7.0217 6.6371 101.15 101.15 123.37
Element x y z (fractional)
Mn (0.0000, 0.0000, 0.0000)
Zn (0.5000, 0.5000, 0.5000)
Br (0.1065, 0.3890, 0.2497)
Br (0.2160, 0.2160, 0.7855)
Br (0.3890, 0.1065, 0.2497)
Br (0.6110, 0.8935, 0.7503)
Br (0.7840, 0.7840, 0.2145)
Br (0.8935, 0.6110, 0.7503)

Properties
density: 3991 kg/m3
uncorrected formation energy: -53.1 kJ/mol of atoms
symmetry: C2/m (12)
spin magnetization: 2.99 μB per formula unit
final energy: -3.11 eV per atom